4
Lattice="3.129 0.000 0.000 0.000 4.414 0.000 0.000 0.000 4.496" Properties=species:S:1:pos:R:3 comment="PBE ReTcW2, optimized geometry" relative_energy_mev_per_atom=35 delta_e_f_ev_per_fu=0.4 pbc="T T T"
Re 0.000 0.000 0.000
Tc 1.564 0.000 2.248
W 0.000 2.207 2.248
W 1.564 2.207 0.000

***

16
Lattice="4.948 -1.901 0.000 4.948 1.901 0.000 -0.095 0.000 9.986" Properties=species:S:1:pos:R:3 comment="PBE Ti3N2O3, optimized geometry" relative_energy_mev_per_atom=23 pbc="T T T"
Ti 0.000 0.000 0.000
Ti 0.048 0.000 3.948
Ti 2.708 0.000 5.050
Ti 2.768 0.000 8.981
Ti 3.278 0.000 2.009
Ti 9.266 0.000 6.982
N 1.841 0.000 3.341
N 4.437 0.000 0.293
N 8.204 0.000 8.720
N 8.256 0.000 5.273
O 0.896 0.000 8.343
O 0.934 0.000 5.725
O 1.865 0.000 0.693
O 3.824 0.000 7.036
O 4.504 0.000 3.754
O 8.845 0.000 2.107

***

Repeat the first record exactly.
4
Lattice="3.129 0.000 0.000 0.000 4.414 0.000 0.000 0.000 4.496" Properties=species:S:1:pos:R:3 comment="PBE ReTcW2, optimized geometry" relative_energy_mev_per_atom=35 delta_e_f_ev_per_fu=0.4 pbc="T T T"
Re 0.000 0.000 0.000
Tc 1.564 0.000 2.248
W 0.000 2.207 2.248
W 1.564 2.207 0.000